DFT (SCAN) results for a PBEsol-optimized structure of Mo4W3.

The space group is I4/mmm (No. 139) and the conventional cell measures 3.1385, 3.1385 and 21.9550 Å, with angles of 90.00, 90.00 and 90.00 degrees. Symmetry generates all atoms from Mo at (0.0000, 0.0000, 0.0714), Mo at (0.0000, 0.0000, 0.3575), W at (0.0000, 0.0000, 0.2140) and W at (0.0000, 0.0000, 0.5000).

As for the formation energy: 0.00 eV per atom. Its density of states at the Fermi level is 7.07 states/eV per cell.


DFT (SCAN) results for a PBEsol-optimized structure of MoW.

The space group is Imma (No. 74) and the conventional cell measures 3.1384, 4.4369 and 8.8924 Å, with angles of 90.00, 90.00 and 90.00 degrees. Symmetry generates all atoms from Mo at (0.0000, 0.2500, 0.1250) and W at (0.0000, 0.2500, 0.6248).

As for the formation energy: -0.01 eV per atom. Its density of states at the Fermi level is 3.62 states/eV per cell. For the energy above the most stable polymorph in this dataset, the calculation gives 0.0029 eV per atom.


DFT (SCAN) results for a PBEsol-optimized structure of MoW2.

The space group is Cmcm (No. 63) and the conventional cell measures 3.1464, 13.3628 and 4.4375 Å, with angles of 90.00, 90.00 and 90.00 degrees. Symmetry generates all atoms from Mo at (0.0000, 0.0832, 0.2500), W at (0.0000, 0.2501, 0.7500) and W at (0.0000, 0.4169, 0.2500).

As for the formation energy: -0.01 eV per atom. Its density of states at the Fermi level is 5.33 states/eV per cell. For the energy above the most stable polymorph in this dataset, the calculation gives 0.0000 eV per atom.